#A
## SiWF2 (GGA+U)

Data for crystalline SiWF2 at its relaxed geometry.

Computed properties:
Total magnetization, μB/f.u.: 2.00
N(E_F), states/eV/cell: 0.00

a b c (Å): 3.6744 3.6744 16.2133
angles (deg): 90.00 90.00 90.00
With the nearest neighbours (Å) after each atom.
Space group I-42d (No. 122)
Symmetry-distinct sites (fractional):
1 Si 0.0000 0.0000 0.0000 x4  4 F 2.42, 4 W 2.60
2 W 0.0000 0.0000 0.5000 x4  4 F 2.39, 4 Si 2.60
3 F 0.2378 0.2500 0.6250 x8  2 W 2.39, 2 Si 2.42, 4 F 2.54-2.66



#B
## SiWF2 (GGA+U)

Data for crystalline SiWF2 at its relaxed geometry.

Computed properties:
Total magnetization, μB/f.u.: 0.00
N(E_F), states/eV/cell: 7.70

a b c (Å): 2.7273 2.7273 26.4395
angles (deg): 90.00 90.00 120.00
With the nearest neighbours (Å) after each atom.
Space group R-3m (No. 166, hexagonal axes)
Symmetry-distinct sites (fractional):
1 Si 0.0000 0.0000 0.0000 x3  2 F 1.70
2 W 0.0000 0.0000 0.5000 x3  6 W 2.73
3 F 0.0000 0.0000 0.0644 x6  1 Si 1.70



#C
## SiWF2 (GGA+U)

Data for crystalline SiWF2 at its relaxed geometry.

Computed properties:
Total magnetization, μB/f.u.: 1.48
N(E_F), states/eV/cell: 3.12

a b c (Å): 2.8510 2.8510 27.0920
angles (deg): 90.00 90.00 120.00
With the nearest neighbours (Å) after each atom.
Space group R-3m (No. 166, hexagonal axes)
Symmetry-distinct sites (fractional):
1 Si 0.0000 0.0000 0.0000 x3  6 Si 2.85, 6 F 3.05
2 W 0.0000 0.0000 0.5000 x3  2 F 1.95
3 F 0.0000 0.0000 0.4280 x6  1 W 1.95



#D
## SiWF2 (GGA+U)

Data for crystalline SiWF2 at its relaxed geometry.

Computed properties:
Total magnetization, μB/f.u.: 0.00
N(E_F), states/eV/cell: 4.92

a b c (Å): 5.9974 5.9974 5.9974
angles (deg): 90.00 90.00 90.00
With the nearest neighbours (Å) after each atom.
Space group Fm-3m (No. 225)
Symmetry-distinct sites (fractional):
1 Si 0.0000 0.0000 0.0000 x4  8 F 2.60
2 W 0.0000 0.0000 0.5000 x4  8 F 2.60
3 F 0.2500 0.2500 0.2500 x8  4 W 2.60, 4 Si 2.60



The most stable arrangement is #A, and the next structure is 107 meV/atom less stable.



#A
## Si2WF (GGA+U)

Data for crystalline Si2WF at its relaxed geometry.

Computed properties:
Total magnetization, μB/f.u.: 1.00
N(E_F), states/eV/cell: 1.89

a b c (Å): 6.2285 6.2285 5.9511
angles (deg): 90.00 90.00 90.00
With the nearest neighbours (Å) after each atom.
Space group I-42d (No. 122)
Symmetry-distinct sites (fractional):
1 Si 0.1871 0.2500 0.1250 x8  2 F 2.08
2 W 0.0000 0.0000 0.5000 x4  4 Si 2.60
3 F 0.0000 0.0000 0.0000 x4  4 Si 2.08



#B
## Si2WF (GGA+U)

Data for crystalline Si2WF at its relaxed geometry.

Computed properties:
Total magnetization, μB/f.u.: 2.99
N(E_F), states/eV/cell: 9.11

a b c (Å): 6.2579 6.2579 6.2579
angles (deg): 90.00 90.00 90.00
With the nearest neighbours (Å) after each atom.
Space group Fm-3m (No. 225)
Symmetry-distinct sites (fractional):
1 Si 0.2500 0.2500 0.2500 x8  4 F 2.71, 4 W 2.71
2 W 0.0000 0.0000 0.0000 x4  8 Si 2.71
3 F 0.0000 0.0000 0.5000 x4  8 Si 2.71



The most stable arrangement is #B, and the next structure is 34 meV/atom less stable.